# 1
Compound: Dy4Cu2Sb
Source: the Alexandria database
Functional: PBE-GGA
Structure: optimized geometry

Structure (extended XYZ):
```
14
Lattice="7.622 -1.249 -0.150 -1.795 7.514 0.150 -2.806 -3.236 6.437" Properties=species:S:1:pos:R:3 pbc="T T T"
Dy 3.791 1.465 3.895
Dy 2.281 -1.271 1.634
Dy 5.078 3.191 0.682
Dy 1.379 2.488 1.543
Dy 6.005 -0.596 2.391
Dy 3.383 -2.301 4.655
Dy 0.009 2.059 5.756
Dy -0.424 -1.677 4.893
Cu 1.425 0.134 4.058
Cu -2.362 0.734 5.630
Cu 3.053 4.462 2.379
Cu 3.926 0.730 0.806
Sb 3.022 3.029 6.437
Sb -0.843 3.706 3.295
```

Summary:
As for the space group: No. 122. For the energy relative to the elements, uncorrected, the calculation gives -0.368 eV per atom. Its density of states at the Fermi level is 1.098 states/eV per atom.

# 2
Compound: Dy4Cu3Sb8
Source: the Alexandria database
Functional: PBE-GGA
Structure: optimized geometry

Structure (extended XYZ):
```
15
Lattice="-4.255 0.367 0.770 0.599 -1.505 4.026 2.679 17.881 6.286" Properties=species:S:1:pos:R:3 pbc="T T T"
Sb -1.937 1.454 0.832
Sb 0.193 12.925 7.142
Sb 2.788 15.858 7.853
Sb -1.171 3.818 3.940
Sb 2.024 13.510 4.750
Sb 1.418 6.712 4.637
Sb -0.567 10.600 4.047
Sb 0.655 4.371 1.537
Dy 0.238 15.975 5.937
Dy -1.130 6.843 2.726
Dy 1.980 10.468 5.958
Dy 0.612 1.337 2.748
Cu -0.489 8.371 5.541
Cu 1.339 8.940 3.143
Cu 0.000 0.000 0.000
```

Summary:
As for the space group: No. 115. For the energy relative to the elements, uncorrected, the calculation gives -0.644 eV per atom. Its density of states at the Fermi level is 0.294 states/eV per atom.

# 3
Compound: Dy3CuSb
Source: the Alexandria database
Functional: PBE-GGA
Structure: optimized geometry

Structure (extended XYZ):
```
10
Lattice="4.045 0.000 0.000 -2.023 7.723 0.087 0.000 -0.221 8.472" Properties=species:S:1:pos:R:3 pbc="T T T"
Cu -0.068 3.697 5.517
Cu 1.956 4.900 6.625
Sb 1.955 2.272 1.202
Sb -0.066 6.547 2.472
Dy 1.955 2.039 6.459
Dy -0.068 4.481 0.145
Dy -0.067 6.558 5.687
Dy -0.066 1.162 3.503
Dy 1.955 7.657 0.171
Dy 1.956 4.338 3.527
```

Summary:
As for the space group: No. 12. For the energy relative to the elements, uncorrected, the calculation gives -0.512 eV per atom. Its density of states at the Fermi level is 1.074 states/eV per atom.

# 4
Compound: DyCu4Sb
Source: the Alexandria database
Functional: PBE-GGA
Structure: optimized geometry

Structure (extended XYZ):
```
6
Lattice="5.199 0.000 0.000 2.600 4.503 0.000 2.600 1.501 4.245" Properties=species:S:1:pos:R:3 pbc="T T T"
Sb 0.000 0.000 0.000
Dy 2.600 1.501 1.061
Cu 5.199 3.002 0.533
Cu 3.901 3.751 2.653
Cu 5.199 1.503 2.653
Cu 6.498 3.751 2.653
```

Summary:
As for the space group: No. 216. For the energy relative to the elements, uncorrected, the calculation gives -0.173 eV per atom. Its density of states at the Fermi level is 0.430 states/eV per atom.

# 5
Compound: Dy2CuSb3
Source: the Alexandria database
Functional: PBE-GGA
Structure: optimized geometry

Structure (extended XYZ):
```
6
Lattice="8.373 0.000 0.000 0.000 8.373 0.000 0.000 0.000 16.161" Properties=species:S:1:pos:R:3 pbc="T T T"
Dy 4.187 4.187 2.853
Dy 4.187 4.187 13.307
Sb 4.187 4.187 5.664
Sb 4.187 4.187 0.000
Sb 4.187 4.187 10.496
Cu 4.187 4.187 8.080
```

Summary:
As for the space group: No. 123. For the energy relative to the elements, uncorrected, the calculation gives 1.255 eV per atom. Its density of states at the Fermi level is 1.534 states/eV per atom.

# 6
Compound: Dy2CuSb4
Source: the Alexandria database
Functional: PBE-GGA
Structure: optimized geometry

Structure (extended XYZ):
```
7
Lattice="-3.570 0.438 -2.463 2.460 -0.161 -3.595 -0.969 -9.300 -0.247" Properties=species:S:1:pos:R:3 pbc="T T T"
Cu -0.555 0.138 -3.029
Sb 0.402 -8.032 -2.009
Sb -1.039 -4.511 -3.152
Sb -1.925 -1.130 -1.267
Sb -0.485 -4.650 -0.124
Dy -2.524 -6.870 -1.420
Dy 1.000 -2.291 -1.856
```

Summary:
As for the space group: No. 115. For the energy relative to the elements, uncorrected, the calculation gives -0.675 eV per atom. Its density of states at the Fermi level is 0.394 states/eV per atom.